Entry from Alexandria: a relaxed Sb4OsPd crystal (PBE).

Unit cell a=6.4660 b=6.5932 c=6.6191 alpha=90.00 beta=94.17 gamma=90.00
Positions (direct):
Sb 0.1040 0.1360 0.1453
Sb 0.1040 0.3640 0.6453
Sb 0.3736 0.6311 0.1155
Sb 0.3736 0.8689 0.6155
Sb 0.6264 0.1311 0.3845
Sb 0.6264 0.3689 0.8845
Sb 0.8960 0.6360 0.3547
Sb 0.8960 0.8640 0.8547
Os 0.0000 0.0000 0.5000
Os 0.0000 0.5000 0.0000
Pd 0.5000 0.0000 0.0000
Pd 0.5000 0.5000 0.5000

Energy relative to the elements, uncorrected in eV per atom: -0.0851
Final energy in eV/atom: -5.57
Total magnetization in μB/cell: 0.0